No. 1
{
  "formula": "CaPrCuRh",
  "functional": "PBE",
  "state": "optimized geometry",
  "lattice": [[-1.717, -3.748, -2.844], [-2.525, -3.783, 2.099], [-4.920, -0.480, -0.807]],
  "species": ["Pr", "Ca", "Rh", "Cu"],
  "frac_coords": [[0.250, 0.250, 0.250], [0.750, 0.750, 0.750], [0.000, 0.000, 0.000], [0.500, 0.500, 0.500]],
  "rho_g_cm3": 6.49,
  "polymorph_energy_ev_per_atom": 0.0758
}


No. 2
{
  "formula": "Zn2SnPt9",
  "functional": "PBE",
  "state": "optimized geometry",
  "lattice": [[3.972, 0.000, 0.000], [0.000, 3.972, 0.000], [0.000, 0.000, 11.941]],
  "species": ["Zn", "Zn", "Sn", "Pt", "Pt", "Pt", "Pt", "Pt", "Pt", "Pt", "Pt", "Pt"],
  "frac_coords": [[0.000, 0.000, 0.339], [0.000, 0.000, 0.661], [0.000, 0.000, 0.000], [0.500, 0.500, 0.000], [0.500, 0.500, 0.337], [0.500, 0.500, 0.663], [0.500, 0.000, 0.176], [0.500, 0.000, 0.500], [0.500, 0.000, 0.824], [0.000, 0.500, 0.176], [0.000, 0.500, 0.500], [0.000, 0.500, 0.824]],
  "rho_g_cm3": 17.67
}


No. 3
{
  "formula": "HfNbZn",
  "functional": "PBE",
  "state": "optimized geometry",
  "lattice": [[-1.241, 2.433, -1.403], [-0.250, -4.203, -3.901], [-5.412, -1.194, 3.755]],
  "species": ["Nb", "Nb", "Hf", "Hf", "Zn", "Zn"],
  "frac_coords": [[0.463, 0.273, 0.749], [0.644, 0.378, 0.360], [0.192, 0.623, 0.091], [0.367, 0.735, 0.676], [0.903, 0.952, 0.404], [0.948, 0.071, 0.032]],
  "rho_g_cm3": 10.12,
  "polymorph_energy_ev_per_atom": 0.0332
}


No. 4
{
  "formula": "SrPd2Au",
  "functional": "PBE",
  "state": "optimized geometry",
  "lattice": [[-3.540, -0.791, -1.847], [-1.671, -1.440, 3.819], [-1.395, 4.080, 0.928]],
  "species": ["Sr", "Au", "Pd", "Pd"],
  "frac_coords": [[0.500, 0.500, 0.500], [0.500, 0.000, 0.000], [0.000, 0.000, 0.500], [0.000, 0.500, 0.000]],
  "rho_g_cm3": 10.43,
  "polymorph_energy_ev_per_atom": 0.1412
}


Number 1: energy relative to the elements -325 meV/atom. Number 2: energy relative to the elements -355 meV/atom. Number 3: energy relative to the elements -40 meV/atom. Number 4: energy relative to the elements -462 meV/atom.